Entry 1:
Below is a relaxed structure of RbPmMoN3, with properties calculated at the PBE level.

The structure in POSCAR format:
```
RbPmMoN3
1.0
6.932 -1.965 0.000
6.932 1.965 0.000
-2.116 0.000 8.074
Rb Pm Mo N
2 2 2 6
Direct
0.143 0.143 0.068
0.857 0.857 0.932
0.162 0.162 0.587
0.838 0.838 0.413
0.492 0.492 0.669
0.508 0.508 0.331
0.013 0.013 0.353
0.342 0.342 0.632
0.370 0.370 0.222
0.630 0.630 0.778
0.658 0.658 0.368
0.987 0.987 0.647
```

Total magnetic moment: 0.00 μB/f.u.
VASP energy: -7.413 eV per atom
V: 220.0 Å³ per cell

Entry 2:
Below is a relaxed structure of ReTeRh2, with properties calculated at the PBE level.

The structure in POSCAR format:
```
ReTeRh2
1.0
4.192 0.000 0.000
0.000 4.192 0.000
0.000 0.000 7.266
Re Te Rh
2 2 4
Direct
0.000 0.000 0.000
0.500 0.500 0.500
0.000 0.500 0.250
0.500 0.000 0.750
0.000 0.000 0.500
0.000 0.500 0.750
0.500 0.000 0.250
0.500 0.500 0.000
```

Total magnetic moment: 0.00 μB/f.u.
VASP energy: -7.273 eV per atom
V: 127.7 Å³ per cell

Entry 3:
Below is a relaxed structure of SrAgSeO2, with properties calculated at the PBE level.

The structure in POSCAR format:
```
SrAgSeO2
1.0
4.147 0.000 0.000
0.000 4.147 0.000
0.000 0.000 5.941
Sr Ag Se O
1 1 1 2
Direct
0.000 0.000 0.000
0.500 0.500 0.000
0.000 0.000 0.500
0.000 0.500 0.500
0.500 0.000 0.500
```

Total magnetic moment: 0.00 μB/f.u.
VASP energy: -3.656 eV per atom
V: 102.2 Å³ per cell

Entry 4:
Below is a relaxed structure of Pm3Ag5Se12, with properties calculated at the PBE level.

The structure in POSCAR format:
```
Pm3Ag5Se12
1.0
-8.130 8.130 8.130
8.130 -8.130 8.130
8.130 8.130 -8.130
Pm Ag Se
12 20 48
Direct
0.125 0.250 0.375
0.125 0.375 0.750
0.250 0.375 0.125
0.250 0.875 0.625
0.375 0.125 0.250
0.375 0.750 0.125
0.625 0.250 0.875
0.625 0.875 0.750
0.750 0.125 0.375
0.750 0.625 0.875
0.875 0.625 0.250
0.875 0.750 0.625
0.000 0.000 0.000
0.000 0.000 0.500
0.000 0.500 0.000
0.000 0.500 0.500
0.125 0.750 0.875
0.125 0.875 0.250
0.250 0.125 0.875
0.250 0.625 0.375
0.375 0.250 0.625
0.375 0.625 0.750
0.500 0.000 0.000
0.500 0.000 0.500
0.500 0.500 0.000
0.500 0.500 0.500
0.625 0.375 0.250
0.625 0.750 0.375
0.750 0.375 0.625
0.750 0.875 0.125
0.875 0.125 0.750
0.875 0.250 0.125
0.045 0.213 0.132
0.045 0.332 0.913
0.081 0.713 0.668
0.081 0.868 0.413
0.087 0.632 0.419
0.087 0.955 0.668
0.132 0.045 0.213
0.132 0.587 0.919
0.168 0.213 0.581
0.168 0.455 0.587
0.213 0.132 0.045
0.213 0.581 0.168
0.287 0.332 0.919
0.287 0.455 0.368
0.332 0.913 0.045
0.332 0.919 0.287
0.368 0.287 0.455
0.368 0.581 0.913
0.413 0.081 0.868
0.413 0.832 0.545
0.419 0.087 0.632
0.419 0.832 0.787
0.455 0.368 0.287
0.455 0.587 0.168
0.545 0.413 0.832
0.545 0.632 0.713
0.581 0.168 0.213
0.581 0.913 0.368
0.587 0.168 0.455
0.587 0.919 0.132
0.632 0.419 0.087
0.632 0.713 0.545
0.668 0.081 0.713
0.668 0.087 0.955
0.713 0.545 0.632
0.713 0.668 0.081
0.787 0.419 0.832
0.787 0.868 0.955
0.832 0.545 0.413
0.832 0.787 0.419
0.868 0.413 0.081
0.868 0.955 0.787
0.913 0.045 0.332
0.913 0.368 0.581
0.919 0.132 0.587
0.919 0.287 0.332
0.955 0.668 0.087
0.955 0.787 0.868
```

Total magnetic moment: 0.00 μB/f.u.
VASP energy: -4.064 eV per atom
V: 2149.2 Å³ per cell

Entry 5:
Below is a relaxed structure of BaBiNO2, with properties calculated at the PBE level.

The structure in POSCAR format:
```
BaBiNO2
1.0
4.612 0.000 0.000
0.000 4.612 0.000
0.000 0.000 4.715
Ba Bi N O
1 1 1 2
Direct
0.000 0.000 0.000
0.500 0.500 0.500
0.000 0.000 0.500
0.000 0.500 0.000
0.500 0.000 0.000
```

Total magnetic moment: 0.39 μB/f.u.
VASP energy: -4.319 eV per atom
V: 100.3 Å³ per cell

Entry 6:
Below is a relaxed structure of Sc2GeMo, with properties calculated at the PBE level.

The structure in POSCAR format:
```
Sc2GeMo
1.0
7.565 0.000 0.000
0.000 7.565 0.000
0.000 0.000 5.442
Sc Ge Mo
8 4 4
Direct
0.247 0.250 0.125
0.250 0.747 0.375
0.250 0.753 0.875
0.253 0.250 0.625
0.747 0.750 0.625
0.750 0.247 0.875
0.750 0.253 0.375
0.753 0.750 0.125
0.000 0.000 0.000
0.000 0.500 0.250
0.500 0.000 0.750
0.500 0.500 0.500
0.000 0.000 0.500
0.000 0.500 0.750
0.500 0.000 0.250
0.500 0.500 0.000
```

Total magnetic moment: 0.53 μB/f.u.
Energy of formation: 0.269 eV/atom
V: 311.5 Å³ per cell

Entry 7:
Below is a relaxed structure of Pm4CdAgAu2, with properties calculated at the PBE level.

The structure in POSCAR format:
```
Pm4CdAgAu2
1.0
2.636 1.522 8.628
-2.636 1.522 8.628
0.000 -3.044 8.628
Pm Cd Ag Au
4 1 1 2
Direct
0.122 0.122 0.122
0.372 0.372 0.372
0.628 0.628 0.628
0.878 0.878 0.878
0.500 0.500 0.500
0.000 0.000 0.000
0.245 0.245 0.245
0.755 0.755 0.755
```

Total magnetic moment: 0.00 μB/f.u.
Energy of formation: -0.529 eV/atom
V: 207.7 Å³ per cell

Entry 8:
Below is a relaxed structure of YPuRh, with properties calculated at the PBE level.

The structure in POSCAR format:
```
YPuRh
1.0
3.968 0.000 0.000
0.000 5.923 0.000
1.983 2.949 6.277
Y Pu Rh
2 2 2
Direct
0.215 0.215 0.069
0.785 0.785 0.931
0.499 0.747 0.500
0.501 0.253 0.500
0.127 0.628 0.245
0.873 0.372 0.755
```

Relative energy among the computed polymorphs: 13 meV per atom
Total magnetic moment: 6.06 μB/f.u.
Energy of formation: -0.418 eV/atom
V: 147.5 Å³ per cell